# 1
TbHo3, relaxed, DFT PBE; spin magnetization = 0.000 Bohr magnetons per cell; E = -18.28 eV for the cell shown; ΔH_f (0 K) = 0.021 eV/atom
1.0
4.985 0.000 0.000
0.000 4.985 0.000
0.000 0.000 4.985
Tb Ho
1 3
Cartesian
0.000 0.000 0.000
0.000 2.493 2.493
2.493 0.000 2.493
2.493 2.493 0.000

***

# 2
K2LaZn, relaxed, DFT PBE; spin magnetization = 0.000 Bohr magnetons per cell; E = -7.61 eV for the cell shown; ΔH_f (0 K) = 0.196 eV/atom
1.0
5.203 -1.996 0.000
5.203 1.996 0.000
-2.738 0.000 9.495
K La Zn
2 1 1
Cartesian
0.000 0.000 0.000
0.008 0.000 5.954
2.756 0.000 2.979
5.780 0.000 2.973

***

# 3
U2Mn2C3, relaxed, DFT PBE; spin magnetization = 1.241 Bohr magnetons per cell; E = -70.34 eV for the cell shown; ΔH_f (0 K) = -0.250 eV/atom
1.0
5.820 -1.526 0.000
5.820 1.526 0.000
-2.351 0.000 4.678
U Mn C
2 2 3
Cartesian
0.092 0.000 1.928
9.196 0.000 2.750
1.570 0.000 4.669
7.718 0.000 0.009
2.333 0.000 1.141
5.820 0.000 0.000
6.956 0.000 3.536